PaNiBi2O8, relaxed, DFT PBE+U; calculated density = 8.03 Mg/m³; raw total energy = -6.623 eV per atom; density of states at the Fermi level = 2.68 states/eV per cell
1.0
-2.084 -0.740 4.545
-2.905 -3.707 -1.833
4.824 -4.511 1.478
O Bi Pa Ni
8 2 1 1
direct
0.189 0.811 0.251
0.704 0.704 0.000
0.689 0.689 0.500
0.811 0.189 0.749
0.296 0.296 0.000
0.811 0.189 0.251
0.189 0.811 0.749
0.311 0.311 0.500
0.500 0.500 0.762
0.500 0.500 0.238
0.000 0.000 0.500
0.000 0.000 0.000